No. 1
Entry from the Alexandria database: a relaxed KCa4B3O9 crystal (PBE).

extended XYZ file:
```
34
Lattice="-2.674 -0.218 6.121 5.128 -3.943 -1.678 6.882 7.555 3.275" Properties=species:S:1:pos:R:3 pbc="T T T"
O 2.943 -0.500 3.761
O 1.949 -1.822 1.066
O 4.765 2.359 6.992
O 6.902 3.030 4.880
O 6.881 6.074 5.736
O 0.385 0.810 6.115
O 5.870 -1.168 3.078
O 0.200 -0.339 0.362
O 3.218 -0.069 6.132
O 4.333 -2.856 2.347
O 1.675 -1.764 5.398
O 5.015 1.544 2.525
O 6.302 4.047 7.724
O 9.316 1.966 2.264
O 3.815 2.708 4.278
O 3.641 3.438 2.000
O 7.700 0.779 4.452
O 9.244 2.474 5.186
B 7.927 2.123 4.817
B 0.089 1.561 5.001
B 4.156 2.565 2.933
B 2.603 -0.755 5.063
B 8.608 2.914 1.562
B 0.715 -1.213 1.295
Ca 2.423 2.217 6.347
Ca 7.298 0.524 2.069
Ca 5.065 4.374 5.640
Ca -0.615 -1.118 4.901
Ca 4.014 -0.545 1.614
Ca 10.335 3.859 3.514
Ca 1.764 -2.992 3.194
Ca 5.205 0.786 4.832
K 1.552 1.412 2.273
K 6.245 4.592 2.659
```

Properties
Its uncorrected formation energy is -269.10 kJ per mole of atoms.

---

No. 2
Entry from the Alexandria database: a relaxed Ce5PmGe4 crystal (PBE).

extended XYZ file:
```
10
Lattice="-3.084 3.222 -0.040 -1.057 -1.108 -7.782 -2.846 -5.727 6.803" Properties=species:S:1:pos:R:3 pbc="T T T"
Ce -4.212 -0.963 -1.462
Ce -1.985 -1.956 -4.533
Ce -2.070 1.057 -3.911
Ce -5.001 -1.657 3.514
Ce -2.775 -2.651 0.443
Ge -3.266 -0.018 1.714
Ge -3.721 -3.596 -2.733
Ge -1.038 -1.015 -1.719
Ge -5.949 -2.599 0.701
Pm -1.542 1.611 -0.020
```

Properties
The value obtained for the calculated formation energy is -623 meV per atom.